Ce6HC2Br3: optimized geometry, PBE.

Cell and atoms, written as POSCAR:
```
Ce6HC2Br3
1.0
3.234 -5.599 0.000
3.234 5.599 0.000
-2.159 0.000 7.370
Ce H C Br
6 1 2 3
Direct
0.095 0.438 0.813
0.219 0.219 0.187
0.438 0.095 0.813
0.562 0.905 0.187
0.781 0.781 0.813
0.905 0.562 0.187
0.500 0.500 0.000
0.167 0.833 0.000
0.833 0.167 0.000
0.000 0.000 0.500
0.333 0.667 0.500
0.667 0.333 0.500
```

=====

Ce8HC3Br4: optimized geometry, PBE.

Cell and atoms, written as POSCAR:
```
Ce8HC3Br4
1.0
3.720 2.148 7.424
-3.720 2.148 7.424
0.000 -4.295 7.424
Ce H C Br
8 1 3 4
Direct
0.218 0.734 0.734
0.229 0.229 0.229
0.266 0.266 0.782
0.266 0.782 0.266
0.734 0.218 0.734
0.734 0.734 0.218
0.771 0.771 0.771
0.782 0.266 0.266
0.500 0.500 0.500
0.000 0.000 0.500
0.000 0.500 0.000
0.500 0.000 0.000
0.000 0.000 0.000
0.000 0.500 0.500
0.500 0.000 0.500
0.500 0.500 0.000
```

=====

It is found that the density values, taken in the order of the records, are 6.88, 6.89 g/cm3.
It is found that the E values, taken in the order of the records, are -5.97, -6.11 eV/atom.